This record from Alexandria via LeMat-Bulk describes crystalline La2MgGe3Ir4 at its relaxed geometry. The functional is GGA-PBE.

* formation energy: -0.758 eV per atom
* electronic total energy: -6.832 eV per atom
* space group: No. 115

Cell and atoms, written as CIF:
```
data_La2MgGe3Ir4
_symmetry_space_group_name_H-M 'P 1'
_symmetry_Int_Tables_number 1
_symmetry_space_group_name_Hall 'P 1'
_cell_length_a 4.223
_cell_length_b 4.223
_cell_length_c 10.811
_cell_angle_alpha 90.00
_cell_angle_beta 90.00
_cell_angle_gamma 90.00
loop_
_atom_site_label
_atom_site_type_symbol
_atom_site_fract_x
_atom_site_fract_y
_atom_site_fract_z
_atom_site_occupancy
La1 La 0.500 0.000 0.247 1
La2 La 0.000 0.500 0.753 1
Ir1 Ir 0.500 0.500 0.000 1
Ir2 Ir 0.500 0.000 0.644 1
Ir3 Ir 0.000 0.000 0.000 1
Ir4 Ir 0.000 0.500 0.356 1
Ge1 Ge 0.000 0.500 0.125 1
Ge2 Ge 0.000 0.000 0.500 1
Ge3 Ge 0.500 0.000 0.875 1
Mg1 Mg 0.500 0.500 0.500 1
```